1.
# InRh2O4

A relaxed structure of InRh2O4 (PBE, the Alexandria database).

Summary:
The symmetry is Pnma. For the uncorrected formation energy, the calculation gives -0.74 eV/atom. As for the volume: 81 Å³/f.u.

Cell lengths 3.161, 9.377, 10.942 Å; angles 90.00, 90.00, 90.00 degrees
Element x y z (fractional)
O 0.250 0.565 0.214
O 0.750 0.310 0.337
O 0.250 0.065 0.286
O 0.750 0.810 0.163
O 0.250 0.409 0.569
O 0.250 0.909 0.931
O 0.750 0.091 0.069
O 0.750 0.591 0.431
O 0.250 0.110 0.537
O 0.750 0.435 0.786
O 0.750 0.935 0.714
O 0.250 0.610 0.963
O 0.750 0.390 0.037
O 0.250 0.190 0.837
O 0.250 0.690 0.663
O 0.750 0.890 0.463
Rh 0.750 0.549 0.618
Rh 0.750 0.099 0.403
Rh 0.250 0.451 0.382
Rh 0.250 0.901 0.597
Rh 0.750 0.599 0.097
Rh 0.250 0.401 0.903
Rh 0.750 0.049 0.882
Rh 0.250 0.951 0.118
In 0.750 0.735 0.840
In 0.250 0.265 0.160
In 0.750 0.235 0.660
In 0.250 0.765 0.340

2.
# Sm2ErPd

A relaxed structure of Sm2ErPd (PBE, the Alexandria database).

Summary:
The symmetry is Pnma. As for the formation energy: -0.441 eV per atom. As for the volume: 114 Å³/f.u.

Cell lengths 6.489, 7.086, 9.931 Å; angles 90.00, 90.00, 90.00 degrees
Element x y z (fractional)
Sm 0.174 0.684 0.440
Sm 0.826 0.316 0.940
Sm 0.674 0.816 0.560
Sm 0.326 0.184 0.060
Sm 0.326 0.184 0.440
Sm 0.826 0.316 0.560
Sm 0.674 0.816 0.940
Sm 0.174 0.684 0.060
Pd 0.053 0.388 0.250
Pd 0.447 0.888 0.250
Pd 0.947 0.612 0.750
Pd 0.553 0.112 0.750
Er 0.640 0.528 0.250
Er 0.860 0.028 0.250
Er 0.140 0.972 0.750
Er 0.360 0.472 0.750

3.
# Pm3YAs3

A relaxed structure of Pm3YAs3 (PBE, the Alexandria database).

Summary:
The symmetry is P2_13. As for the formation energy: -1.275 eV per atom. As for the volume: 177 Å³/f.u.

Cell lengths 8.914, 8.914, 8.914 Å; angles 90.00, 90.00, 90.00 degrees
Element x y z (fractional)
Pm 0.184 0.184 0.184
Pm 0.435 0.565 0.065
Pm 0.065 0.435 0.565
Pm 0.818 0.318 0.182
Pm 0.816 0.684 0.316
Pm 0.684 0.316 0.816
Pm 0.318 0.182 0.818
Pm 0.682 0.682 0.682
Pm 0.182 0.818 0.318
Pm 0.565 0.065 0.435
Pm 0.316 0.816 0.684
Pm 0.935 0.935 0.935
As 0.873 0.001 0.253
As 0.747 0.373 0.499
As 0.501 0.247 0.127
As 0.999 0.753 0.627
As 0.499 0.747 0.373
As 0.247 0.127 0.501
As 0.373 0.499 0.747
As 0.753 0.627 0.999
As 0.253 0.873 0.001
As 0.127 0.501 0.247
As 0.627 0.999 0.753
As 0.001 0.253 0.873
Y 0.566 0.934 0.066
Y 0.066 0.566 0.934
Y 0.434 0.434 0.434
Y 0.934 0.066 0.566

4.
# CePa2NbN5

A relaxed structure of CePa2NbN5 (PBE, the Alexandria database).

Summary:
The symmetry is Cmc2_1. For the uncorrected formation energy, the calculation gives -1.27 eV/atom. As for the volume: 127 Å³/f.u.

Cell lengths 3.416, 7.697, 9.894 Å; angles 90.00, 90.00, 102.82 degrees
Element x y z (fractional)
N 0.360 0.719 0.981
N 0.725 0.449 0.162
N 0.697 0.395 0.866
N 0.467 0.935 0.244
N 0.912 0.824 0.592
N 0.275 0.551 0.662
N 0.088 0.176 0.092
N 0.303 0.605 0.366
N 0.640 0.281 0.481
N 0.533 0.065 0.744
Ce 0.527 0.055 0.983
Ce 0.473 0.945 0.483
Pa 0.869 0.738 0.197
Pa 0.152 0.304 0.295
Pa 0.848 0.696 0.795
Pa 0.131 0.262 0.697
Nb 0.782 0.564 0.503
Nb 0.218 0.436 0.003

5.
# KHfV2N

A relaxed structure of KHfV2N (PBE, the Alexandria database).

Summary:
The symmetry is P4/mmm. For the uncorrected formation energy, the calculation gives 0.55 eV/atom. As for the volume: 80 Å³/f.u.

Cell lengths 4.105, 4.747, 4.105 Å; angles 90.00, 90.00, 90.00 degrees
Element x y z (fractional)
N 0.000 0.000 0.000
V 0.500 0.000 0.000
V 0.000 0.000 0.500
K 0.500 0.500 0.500
Hf 0.000 0.500 0.000

6.
# Nd7Ru2Pb2

A relaxed structure of Nd7Ru2Pb2 (PBE, the Alexandria database).

Summary:
The symmetry is Cmmm. As for the formation energy: -0.227 eV per atom. As for the volume: 351 Å³/f.u.

Cell lengths 7.058, 7.352, 7.058 Å; angles 90.00, 106.59, 90.00 degrees
Element x y z (fractional)
Pb 0.183 0.500 0.183
Pb 0.817 0.500 0.817
Ru 0.288 0.000 0.712
Ru 0.712 0.000 0.288
Nd 0.000 0.754 0.500
Nd 0.500 0.769 0.500
Nd 0.500 0.246 0.000
Nd 0.000 0.000 0.000
Nd 0.000 0.246 0.500
Nd 0.500 0.754 0.000
Nd 0.500 0.231 0.500

Q: Number 1 is which compound?
A: InRh2O4

Copy entry 1 word for word.
# InRh2O4

A relaxed structure of InRh2O4 (PBE, the Alexandria database).

Summary:
The symmetry is Pnma. For the uncorrected formation energy, the calculation gives -0.74 eV/atom. As for the volume: 81 Å³/f.u.

Cell lengths 3.161, 9.377, 10.942 Å; angles 90.00, 90.00, 90.00 degrees
Element x y z (fractional)
O 0.250 0.565 0.214
O 0.750 0.310 0.337
O 0.250 0.065 0.286
O 0.750 0.810 0.163
O 0.250 0.409 0.569
O 0.250 0.909 0.931
O 0.750 0.091 0.069
O 0.750 0.591 0.431
O 0.250 0.110 0.537
O 0.750 0.435 0.786
O 0.750 0.935 0.714
O 0.250 0.610 0.963
O 0.750 0.390 0.037
O 0.250 0.190 0.837
O 0.250 0.690 0.663
O 0.750 0.890 0.463
Rh 0.750 0.549 0.618
Rh 0.750 0.099 0.403
Rh 0.250 0.451 0.382
Rh 0.250 0.901 0.597
Rh 0.750 0.599 0.097
Rh 0.250 0.401 0.903
Rh 0.750 0.049 0.882
Rh 0.250 0.951 0.118
In 0.750 0.735 0.840
In 0.250 0.265 0.160
In 0.750 0.235 0.660
In 0.250 0.765 0.340